NdEu2Y | GGA-PBE | optimized geometry

The energy relative to the elements is 107 meV/atom. The density of states at the Fermi level comes out at 5.294 states/eV/f.u. The volume comes out at 146.4 Å³/f.u. The distance to the lowest polymorph of the same formula is 0.087 eV per formula unit.

It has space group P4/mmm (No. 123), with a = 5.230 Å, b = 5.230 Å, c = 5.351 Å, α = 90.00°, β = 90.00° and γ = 90.00°. The distinct sites, in fractional coordinates, are Nd at (0.000, 0.000, 0.000), Eu at (0.000, 0.500, 0.500) and Y at (0.500, 0.500, 0.000).

NdEu2Y | GGA-PBE | optimized geometry

The energy relative to the elements is 143 meV/atom. The density of states at the Fermi level comes out at 4.933 states/eV/f.u. The volume comes out at 146.9 Å³/f.u. The distance to the lowest polymorph of the same formula is 0.233 eV per formula unit.

It has space group Fm-3m (No. 225), with a = 8.375 Å, b = 8.375 Å, c = 8.375 Å, α = 90.00°, β = 90.00° and γ = 90.00°. The distinct sites, in fractional coordinates, are Nd at (0.000, 0.000, 0.000), Eu at (0.250, 0.250, 0.250) and Y at (0.000, 0.000, 0.500).

NdEuY2 | GGA-PBE | optimized geometry

The energy relative to the elements is 49 meV/atom. The density of states at the Fermi level comes out at 5.488 states/eV/f.u. The volume comes out at 138.9 Å³/f.u. The distance to the lowest polymorph of the same formula is 0.000 eV per formula unit.

It has space group R-3m (No. 166, hexagonal axes), with a = 3.6635 Å, b = 3.6635 Å, c = 35.8523 Å, α = 90.00°, β = 90.00° and γ = 120.00°. The distinct sites, in fractional coordinates, are Nd at (0.0000, 0.0000, 0.0000), Eu at (0.0000, 0.0000, 0.5000) and Y at (0.0000, 0.0000, 0.2526).

NdEuY | GGA-PBE | optimized geometry

The energy relative to the elements is 40 meV/atom. The density of states at the Fermi level comes out at 3.700 states/eV/f.u. The volume comes out at 107.3 Å³/f.u. The distance to the lowest polymorph of the same formula is 0.000 eV per formula unit.

It has space group P3m1 (No. 156), with a = 3.6955 Å, b = 3.6955 Å, c = 9.0732 Å, α = 90.00°, β = 90.00° and γ = 120.00°. The distinct sites, in fractional coordinates, are Nd at (0.0000, 0.0000, 0.0000), Eu at (0.3333, 0.6667, 0.6517) and Y at (0.6667, 0.3333, 0.3130).

NdEuY2 | GGA-PBE | optimized geometry

The energy relative to the elements is 60 meV/atom. The density of states at the Fermi level comes out at 6.047 states/eV/f.u. The volume comes out at 140.2 Å³/f.u. The distance to the lowest polymorph of the same formula is 0.041 eV per formula unit.

It has space group P4/mmm (No. 123), with a = 3.685 Å, b = 3.685 Å, c = 10.323 Å, α = 90.00°, β = 90.00° and γ = 90.00°. The distinct sites, in fractional coordinates, are Nd at (0.000, 0.000, 0.000), Eu at (0.000, 0.000, 0.500) and Y at (0.500, 0.500, 0.238).

NdEu2Y | GGA-PBE | optimized geometry

The energy relative to the elements is 85 meV/atom. The density of states at the Fermi level comes out at 5.601 states/eV/f.u. The volume comes out at 146.7 Å³/f.u. The distance to the lowest polymorph of the same formula is 0.000 eV per formula unit.

It has space group R-3m (No. 166, hexagonal axes), with a = 3.7128 Å, b = 3.7128 Å, c = 36.8591 Å, α = 90.00°, β = 90.00° and γ = 120.00°. The distinct sites, in fractional coordinates, are Nd at (0.0000, 0.0000, 0.0000), Eu at (0.0000, 0.0000, 0.2489) and Y at (0.0000, 0.0000, 0.5000).